Compound: YGaFe3
Source: the Alexandria database
Functional: PBE-GGA
Structure: optimized geometry

Geometry as POSCAR:
```
YGaFe3
1.0
-0.4449 2.2176 -3.8852
-4.1164 -1.7316 -0.5170
-1.7515 3.5063 2.2019
Fe Ga Y
3 1 1
direct
0.0000 0.0000 0.5000
0.5000 0.0000 0.0000
0.0000 0.5000 0.0000
0.0000 0.0000 0.0000
0.5000 0.5000 0.5000
```

Values from the calculation:
As for the formation energy: 522 meV per atom. Its space group is Pm-3m (221). The calculation puts the volume at 90.9 Å³/cell. For the uncorrected energy, the calculation gives -6.453 eV per atom.


Compound: BaFeI2
Source: the Alexandria database
Functional: PBE-GGA
Structure: optimized geometry

Geometry as POSCAR:
```
BaFeI2
1.0
-4.2562 1.8038 4.9859
-5.2638 -2.2057 -3.6954
-4.1143 -6.4579 3.4601
Fe I Ba
2 4 2
direct
0.2500 0.7500 0.5000
0.5000 0.5000 0.0000
0.8750 0.7737 0.7500
0.3750 0.4763 0.7500
0.5237 0.1250 0.2500
0.2263 0.6250 0.2500
0.0000 0.0000 0.0000
0.7500 0.2500 0.5000
```

Values from the calculation:
Its space group is I-42d (122). The calculation puts the volume at 318.6 Å³/cell. Its energy relative to the elements, uncorrected is -0.28 eV per atom. For the uncorrected energy, the calculation gives -3.651 eV per atom.


- Which of these has the highest uncorrected energy?
  BaFeI2